A plane-wave DFT calculation with PBE was carried out for a relaxed PdPt2W crystal.

It has space group I-42d (No. 122), with a = 7.1541 Å, b = 7.1541 Å, c = 5.4317 Å, α = 90.00°, β = 90.00° and γ = 90.00°. The inequivalent atoms are Pd at (0.0000, 0.0000, 0.0000), Pt at (0.2266, 0.2500, 0.6250) and W at (0.0000, 0.0000, 0.5000).

Its raw total energy is -7.276 eV/atom. For the excess energy over the best structure of this formula in the dataset, the calculation gives 525 meV/atom. As for the density of states at the Fermi level: 4.06 states/eV/f.u. Its total moment is 0.00 μB/cell. As for the theoretical density: 16.257 g cm⁻³. The formation energy comes out at 280 meV per atom.